## FeOsPb2O (PBE with a Hubbard U)

Data for FeOsPb2O after structural relaxation.

a = 5.076 Å, b = 5.076 Å, c = 3.747 Å
α = 90.00°, β = 90.00°, γ = 90.00°
Space group P4/mmm (No. 123)
Unique sites:
Fe (0.000, 0.000, 0.000) (multiplicity 1)
Os (0.500, 0.500, 0.000) (multiplicity 1)
Pb (0.000, 0.500, 0.500) (multiplicity 2)
O (0.000, 0.000, 0.500) (multiplicity 1)

Computed properties:
DFT total energy (eV/atom): -5.482
V (Å³/f.u.): 96.6
Crystal system: tetragonal